Mg5Pt after structural relaxation. Source: Alexandria via LeMat-Bulk, functional PBEsol.

Computed properties:
SG   No. 65
DFT formation energy   -0.297 eV/atom

Cell lengths 4.255, 4.309, 6.590 Å; angles 90.00, 108.84, 90.00 degrees
Positions (direct):
Mg1 0.849 0.000 0.698
Mg2 0.344 0.500 0.689
Mg3 0.151 0.000 0.302
Mg4 0.000 0.500 0.000
Pt1 0.500 0.000 0.000
Mg5 0.656 0.500 0.311

MgPt after structural relaxation. Source: Alexandria via LeMat-Bulk, functional PBEsol.

Computed properties:
SG   No. 194
DFT formation energy   0.063 eV/atom

Cell lengths 4.449, 4.449, 5.162 Å; angles 90.00, 90.00, 120.00 degrees
Positions (direct):
Mg1 0.667 0.333 0.250
Pt1 0.667 0.333 0.750
Pt2 0.333 0.667 0.250
Mg2 0.333 0.667 0.750

Mg3Pt after structural relaxation. Source: Alexandria via LeMat-Bulk, functional PBEsol.

Computed properties:
SG   No. 185
DFT formation energy   -0.561 eV/atom

Cell lengths 7.890, 7.890, 8.315 Å; angles 90.00, 90.00, 120.00 degrees
Positions (direct):
Mg1 0.000 0.000 0.175
Mg2 0.000 0.000 0.675
Mg3 0.000 0.625 0.071
Mg4 0.000 0.283 0.914
Mg5 0.667 0.333 0.787
Mg6 0.333 0.667 0.787
Mg7 0.717 0.717 0.914
Pt1 0.000 0.672 0.743
Mg8 0.375 0.000 0.571
Mg9 0.000 0.375 0.571
Pt2 0.672 0.672 0.243
Mg10 0.000 0.717 0.414
Pt3 0.672 0.000 0.743
Pt4 0.328 0.000 0.243
Mg11 0.375 0.375 0.071
Pt5 0.328 0.328 0.743
Mg12 0.283 0.283 0.414
Mg13 0.667 0.333 0.287
Mg14 0.625 0.625 0.571
Pt6 0.000 0.328 0.243
Mg15 0.283 0.000 0.914
Mg16 0.717 0.000 0.414
Mg17 0.333 0.667 0.287
Mg18 0.625 0.000 0.071

MgPt7 after structural relaxation. Source: Alexandria via LeMat-Bulk, functional PBEsol.

Computed properties:
SG   No. 225
DFT formation energy   -0.317 eV/atom

Cell lengths 5.535, 5.535, 5.535 Å; angles 60.00, 60.00, 60.00 degrees
Positions (direct):
Pt1 0.000 0.500 0.000
Mg1 0.000 0.000 0.000
Pt2 0.000 0.000 0.500
Pt3 0.500 0.500 0.000
Pt4 0.500 0.500 0.500
Pt5 0.500 0.000 0.000
Pt6 0.500 0.000 0.500
Pt7 0.000 0.500 0.500

Mg3Pt after structural relaxation. Source: Alexandria via LeMat-Bulk, functional PBEsol.

Computed properties:
SG   No. 63
DFT formation energy   -0.490 eV/atom

Cell lengths 4.688, 5.888, 5.888 Å; angles 120.10, 90.00, 90.00 degrees
Positions (direct):
Mg1 0.250 0.174 0.348
Pt1 0.250 0.667 0.333
Pt2 0.750 0.333 0.667
Mg2 0.250 0.652 0.826
Mg3 0.750 0.826 0.174
Mg4 0.250 0.174 0.826
Mg5 0.750 0.826 0.652
Mg6 0.750 0.348 0.174

Mg3Pt after structural relaxation. Source: Alexandria via LeMat-Bulk, functional PBEsol.

Computed properties:
SG   No. 62
DFT formation energy   -0.547 eV/atom

Cell lengths 5.125, 7.434, 8.156 Å; angles 90.00, 90.00, 90.00 degrees
Positions (direct):
Pt1 0.925 0.632 0.750
Mg1 0.412 0.479 0.750
Mg2 0.107 0.668 0.062
Pt2 0.075 0.368 0.250
Mg3 0.088 0.979 0.750
Mg4 0.393 0.168 0.438
Pt3 0.425 0.868 0.250
Mg5 0.588 0.521 0.250
Mg6 0.107 0.668 0.438
Mg7 0.893 0.332 0.938
Mg8 0.893 0.332 0.562
Mg9 0.912 0.021 0.250
Mg10 0.393 0.168 0.062
Mg11 0.607 0.832 0.562
Pt4 0.575 0.132 0.750
Mg12 0.607 0.832 0.938

MgPt3 after structural relaxation. Source: Alexandria via LeMat-Bulk, functional PBEsol.

Computed properties:
SG   No. 25
DFT formation energy   -0.466 eV/atom

Cell lengths 2.815, 4.580, 4.699 Å; angles 90.00, 90.00, 90.00 degrees
Positions (direct):
Pt1 0.500 0.000 0.471
Pt2 0.000 0.500 0.363
Pt3 0.500 0.500 0.855
Mg1 0.000 0.000 0.977

Mg2Pt after structural relaxation. Source: Alexandria via LeMat-Bulk, functional PBEsol.

Computed properties:
SG   No. 140
DFT formation energy   -0.670 eV/atom

Cell lengths 5.269, 5.269, 5.269 Å; angles 106.41, 106.41, 115.79 degrees
Positions (direct):
Pt1 0.250 0.250 0.000
Mg1 0.819 0.319 0.139
Mg2 0.181 0.681 0.861
Mg3 0.681 0.819 0.500
Mg4 0.319 0.181 0.500
Pt2 0.750 0.750 0.000

| no. | total energy (eV per cell) |
| --- | --- |
| 1 | -17.33 |
| 2 | -17.11 |
| 3 | -86.15 |
| 4 | -53.00 |
| 5 | -28.15 |
| 6 | -57.22 |
| 7 | -24.47 |
| 8 | -24.81 |